The following is a DFT calculation (PBE) of crystalline KTmSeS at its relaxed geometry.

a b c (Å): 7.8564 7.8564 7.8564
angles (deg): 30.06 30.06 30.06
Closest atoms and distances in Å follow each position.
Element x y z (fractional)
1 K 0.4988 0.4988 0.4988  3 S 3.24, 3 Se 3.25
2 S 0.7329 0.7329 0.7329  3 Tm 2.75
3 Se 0.2649 0.2649 0.2649  3 Tm 2.85
4 Tm 0.0033 0.0033 0.0033  3 S 2.75, 3 Se 2.85


The following is a DFT calculation (PBE) of crystalline RbSnTe3Ir at its relaxed geometry.

a b c (Å): 7.6459 7.6459 12.3688
angles (deg): 90.00 90.00 145.00
Closest atoms and distances in Å follow each position.
Element x y z (fractional)
1 Ir 0.9038 0.0961 0.2500  4 Te 2.58-2.60
2 Ir 0.0961 0.9038 0.7500  4 Te 2.58-2.60
3 Rb 0.2088 0.7912 0.2500  2 Ir 3.66, 9 Te 3.80-4.07
4 Rb 0.7912 0.2088 0.7500  2 Ir 3.66, 9 Te 3.80-4.07
5 Sn 0.5000 0.5000 0.0000  6 Te 3.10-3.12
6 Sn 0.5000 0.5000 0.5000  6 Te 3.10-3.12
7 Te 0.8607 0.1393 0.0463  1 Ir 2.60
8 Te 0.4844 0.5156 0.2500  2 Ir 2.58
9 Te 0.8607 0.1393 0.4537  1 Ir 2.60
10 Te 0.1393 0.8607 0.5463  1 Ir 2.60
11 Te 0.5156 0.4844 0.7500  2 Ir 2.58
12 Te 0.1393 0.8607 0.9537  1 Ir 2.60


The following is a DFT calculation (PBE) of crystalline GaAsIr at its relaxed geometry.

a b c (Å): 4.2321 4.2321 4.2321
angles (deg): 60.00 60.00 60.00
Closest atoms and distances in Å follow each position.
Element x y z (fractional)
1 As 0.2500 0.2500 0.2500  4 Ir 2.59
2 Ga 0.7500 0.7500 0.7500  4 Ir 2.59
3 Ir 0.0000 0.0000 0.0000  4 As 2.59, 4 Ga 2.59


The following is a DFT calculation (PBE) of crystalline HoEr2Mg3Pd2Pt at its relaxed geometry.

a b c (Å): 4.0971 7.3373 7.3373
angles (deg): 119.98 90.00 90.00
Closest atoms and distances in Å follow each position.
Element x y z (fractional)
1 Er 0.0000 0.4067 0.0000  1 Pt 2.98, 4 Pd 3.02, 6 Mg 3.27-3.31
2 Er 0.0000 0.0000 0.4067  1 Pt 2.98, 4 Pd 3.02, 6 Mg 3.27-3.31
3 Ho 0.0000 0.5928 0.5928  1 Pt 2.99, 4 Pd 3.03, 6 Mg 3.27-3.32
4 Mg 0.5000 0.7548 0.0003  2 Pt 2.73, 2 Pd 2.82-2.83
5 Mg 0.5000 0.2451 0.2451  2 Pt 2.72, 2 Pd 2.83
6 Mg 0.5000 0.0003 0.7548  2 Pt 2.73, 2 Pd 2.82-2.83
7 Pd 0.5000 0.6669 0.3327  3 Mg 2.82-2.83, 4 Er 3.02, 2 Ho 3.03
8 Pd 0.5000 0.3327 0.6669  3 Mg 2.82-2.83, 4 Er 3.02, 2 Ho 3.03
9 Pt 0.0000 0.0007 0.0007  6 Mg 2.72-2.73, 2 Er 2.98, 1 Ho 2.99


no.,uncorrected energy (eV/atom)
1,-5.11
2,-4.16
3,-5.78
4,-4.65